The following is a PBE-GGA calculation of a geometry-optimized BaCo2P structure, from Alexandria via LeMat-Bulk.

abc: 6.133 6.133 6.133
angles: 37.98 37.98 37.98
Sites, in units of the cell vectors:
Ba  0.000  0.000  0.000
Co  0.185  0.185  0.185
Co  0.500  0.500  0.500
P  0.808  0.808  0.808

Calculated values
DFT formation energy = -35 kJ/mol of atoms
ρ = 6.059 g cm⁻³